w:
# Lu2Tc2O5 (PBE-GGA, relaxed)
# Spin magnetization   0.00 Bohr magnetons per cell
# Density   10.06 g/cm3
data_Lu2Tc2O5
_cell_length_a 3.932
_cell_length_b 3.932
_cell_length_c 6.681
_cell_angle_alpha 90.00
_cell_angle_beta 90.00
_cell_angle_gamma 90.00
_space_group_name_H-M_alt 'P 4/m m m'
_space_group_IT_number 123
_space_group_name_Hall '-P 4 2'
loop_
_atom_site_label
_atom_site_fract_x
_atom_site_fract_y
_atom_site_fract_z
_atom_site_occupancy
Lu1 0.000 0.000 0.000 1
Lu2 0.000 0.000 0.500 1
Tc1 0.500 0.500 0.173 1
O1 0.000 0.500 0.234 1
O2 0.500 0.500 0.500 1

x:
# Lu2Tc2O5 (PBE-GGA, relaxed)
# Spin magnetization   3.44 Bohr magnetons per cell
# Density   9.07 g/cm3
data_Lu2Tc2O5
_cell_length_a 3.541
_cell_length_b 3.541
_cell_length_c 9.145
_cell_angle_alpha 90.00
_cell_angle_beta 90.00
_cell_angle_gamma 90.00
_space_group_name_H-M_alt 'P 4/m m m'
_space_group_IT_number 123
_space_group_name_Hall '-P 4 2'
loop_
_atom_site_label
_atom_site_fract_x
_atom_site_fract_y
_atom_site_fract_z
_atom_site_occupancy
Lu1 0.000 0.000 0.242 1
Tc1 0.500 0.500 0.000 1
Tc2 0.500 0.500 0.500 1
O1 0.000 0.000 0.000 1
O2 0.000 0.500 0.371 1

So which one wins? Going from most stable to least: w, x.